# 1
PuAlOs: relaxed, PBE-GGA.

DFT formation energy	-0.21	eV/atom
total moment	4.74	μB per formula unit
E	-9.976	eV/atom

Structure (POSCAR):
```
PuAlOs
1.0
3.821 0.149 -1.025
-0.423 3.800 -1.025
0.037 0.043 7.787
Al Pu Os
2 2 2
Direct
0.000 0.500 0.000
0.500 0.000 0.000
0.328 0.328 0.656
0.672 0.672 0.344
0.880 0.880 0.761
0.120 0.120 0.239
```

---

# 2
PuAl2Os: relaxed, PBE-GGA.

DFT formation energy	-0.10	eV/atom
total moment	4.36	μB per formula unit
E	-8.365	eV/atom
offset from the most stable computed form	271	meV per atom

Structure (POSCAR):
```
PuAl2Os
1.0
4.596 0.000 0.000
2.298 3.980 0.000
2.298 1.327 3.753
Pu Al Os
1 2 1
Direct
0.500 0.500 0.500
0.750 0.750 0.750
0.250 0.250 0.250
0.000 0.000 0.000
```